# 1
Compound: BaCaMgAu2
Source: Alexandria via LeMat-Bulk
Functional: PBE
Structure: relaxed

## Properties
**ρ**: 6.9 g cm⁻³
**Size of the total moment**: 0.0 μB per formula unit
**V**: 287.34 Å³ per cell
**Crystal system**: tetragonal
**Raw total energy**: -3.03 eV/atom

Cell: 4.6430 4.6430 13.3295 Å, 90.00 90.00 90.00°
Space group I-4m2 (No. 119)
Asymmetric unit:
Ba 0.0000 0.0000 0.0000 [2 per cell]
Ca 0.0000 0.5000 0.2500 [2 per cell]
Mg 0.0000 0.5000 0.7500 [2 per cell]
Au 0.0000 0.0000 0.3892 [4 per cell]


# 2
Compound: TlCrRe2
Source: Alexandria via LeMat-Bulk
Functional: PBE
Structure: relaxed

## Properties
**ρ**: 15.6 g cm⁻³
**ΔE to the lowest computed polymorph**: 41 kJ/mol of formula units
**Size of the total moment**: 2.9 μB per formula unit
**V**: 200.57 Å³ per cell
**Crystal system**: trigonal
**Raw total energy**: -8.60 eV/atom

Cell: 2.9142 2.9142 27.2703 Å, 90.00 90.00 120.00°
Space group R3m (No. 160, hexagonal axes)
Asymmetric unit:
Tl 0.0000 0.0000 0.0000 [3 per cell]
Cr 0.0000 0.0000 0.7555 [3 per cell]
Re 0.0000 0.0000 0.2409 [3 per cell]
Re 0.0000 0.0000 0.4977 [3 per cell]


# 3
Compound: Ac2PHPt6
Source: Alexandria via LeMat-Bulk
Functional: PBE
Structure: relaxed

## Properties
**ρ**: 15.2 g cm⁻³
**Size of the total moment**: 0.0 μB per formula unit
**V**: 363.02 Å³ per cell
**Crystal system**: monoclinic
**Raw total energy**: -6.07 eV/atom

Cell: 10.2413 5.9199 6.8839 Å, 90.00 119.56 90.00°
Space group C2/m (No. 12)
Asymmetric unit:
Ac 0.2239 0.0000 0.1706 [4 per cell]
P 0.0000 0.5000 0.0000 [2 per cell]
H 0.0000 0.0000 0.5000 [2 per cell]
Pt 0.0220 0.2557 0.3091 [8 per cell]
Pt 0.2334 0.0000 0.6922 [4 per cell]


# 4
Compound: PrHo5Th
Source: Alexandria via LeMat-Bulk
Functional: PBE
Structure: relaxed

## Properties
**ρ**: 8.4 g cm⁻³
**Size of the total moment**: 0.0 μB per formula unit
**V**: 235.65 Å³ per cell
**Crystal system**: triclinic
**Raw total energy**: -4.79 eV/atom

Cell: 6.2331 6.2338 6.8909 Å, 99.53 99.38 112.82°
Space group P-1 (No. 2)
Asymmetric unit:
Pr 0.0000 0.0000 0.0000 [1 per cell]
Ho 0.0000 0.0000 0.5000 [1 per cell]
Ho 0.0887 0.5286 0.7647 [2 per cell]
Ho 0.4715 0.9115 0.2354 [2 per cell]
Th 0.5000 0.5000 0.5000 [1 per cell]


# 5
Compound: Pr2NdY7
Source: Alexandria via LeMat-Bulk
Functional: PBE
Structure: relaxed

## Properties
**ρ**: 5.2 g cm⁻³
**ΔE to the lowest computed polymorph**: 0 kJ/mol of formula units
**Size of the total moment**: 0.0 μB per formula unit
**V**: 332.63 Å³ per cell
**Crystal system**: triclinic
**Raw total energy**: -5.94 eV/atom

Cell: 6.2445 7.2243 8.0701 Å, 102.96 97.34 106.66°
Space group P-1 (No. 2)
Asymmetric unit:
Pr 0.0991 0.1993 0.2001 [2 per cell]
Nd 0.5000 0.5000 0.0000 [1 per cell]
Y 0.1008 0.7007 0.2015 [2 per cell]
Y 0.3003 0.1007 0.6000 [2 per cell]
Y 0.3007 0.5996 0.5982 [2 per cell]
Y 0.5000 0.0000 0.0000 [1 per cell]


# 6
Compound: Hg3TeO
Source: Alexandria via LeMat-Bulk
Functional: PBE
Structure: relaxed

## Properties
**ρ**: 6.5 g cm⁻³
**ΔE to the lowest computed polymorph**: 265 kJ/mol of formula units
**Size of the total moment**: 0.0 μB per formula unit
**V**: 189.11 Å³ per cell
**Crystal system**: cubic
**Raw total energy**: -1.11 eV/atom

Cell: 5.7400 5.7400 5.7400 Å, 90.00 90.00 90.00°
Space group Pm-3m (No. 221)
Asymmetric unit:
Hg 0.0000 0.0000 0.5000 [3 per cell]
Te 0.0000 0.0000 0.0000 [1 per cell]
O 0.5000 0.5000 0.5000 [1 per cell]


- Look up the size of the total moment of the third one.
  0.0 μB per formula unit


Copy entry 1 word for word.
Compound: BaCaMgAu2
Source: Alexandria via LeMat-Bulk
Functional: PBE
Structure: relaxed

## Properties
**ρ**: 6.9 g cm⁻³
**Size of the total moment**: 0.0 μB per formula unit
**V**: 287.34 Å³ per cell
**Crystal system**: tetragonal
**Raw total energy**: -3.03 eV/atom

Cell: 4.6430 4.6430 13.3295 Å, 90.00 90.00 90.00°
Space group I-4m2 (No. 119)
Asymmetric unit:
Ba 0.0000 0.0000 0.0000 [2 per cell]
Ca 0.0000 0.5000 0.2500 [2 per cell]
Mg 0.0000 0.5000 0.7500 [2 per cell]
Au 0.0000 0.0000 0.3892 [4 per cell]


- Which value of ρ does entry 1 give?
  6.9 g cm⁻³